## ReHSeN2 (PBE-GGA)

Data for a relaxed ReHSeN2 crystal.

a b c (Å): 3.7768 3.7768 5.2625
angles (deg): 90.00 90.00 90.00
Positions (direct):
H1 0.5000 0.5000 0.5000
Re1 0.0000 0.0000 0.0000
Se1 0.0000 0.0000 0.5000
N1 0.5000 0.0000 0.0000
N2 0.0000 0.5000 0.0000

Summary:
**Total moment**: 0.000 Bohr magnetons per cell
**Uncorrected energy**: -6.3456 eV per atom
**Space group**: P4/mmm



## Pm2Al3HgPd4 (PBE-GGA)

Data for a relaxed Pm2Al3HgPd4 crystal.

a b c (Å): 4.3010 4.3010 10.8266
angles (deg): 90.00 90.00 90.00
Positions (direct):
Al1 0.5000 0.0000 0.8819
Al2 0.0000 0.5000 0.1181
Al3 0.0000 0.0000 0.5000
Pm1 0.5000 0.0000 0.2434
Pm2 0.0000 0.5000 0.7566
Hg1 0.5000 0.5000 0.5000
Pd1 0.5000 0.0000 0.6557
Pd2 0.0000 0.0000 0.0000
Pd3 0.5000 0.5000 0.0000
Pd4 0.0000 0.5000 0.3443

Summary:
**ΔE_f**: -7.4 eV per formula unit
**Total moment**: 0.000 Bohr magnetons per cell
**Space group**: P-4m2